CoPb3F: optimized geometry, GGA+U.

Unit cell a=4.9760 b=4.9760 c=4.9760 alpha=90.00 beta=90.00 gamma=90.00
With the nearest neighbours (Å) after each atom.
Fractional positions:
Co 0.0000 0.0000 0.0000  12 Pb 3.52
Pb 0.0000 0.5000 0.5000  2 F 2.49
Pb 0.5000 0.0000 0.5000  2 F 2.49
Pb 0.5000 0.5000 0.0000  2 F 2.49
F 0.5000 0.5000 0.5000  6 Pb 2.49

Summary:
**Magnetization**: 0.00 μB/f.u.
**DOS at the Fermi energy**: 6.9 states/eV/f.u.
**Energy**: -3.2512 eV/atom
**Polymorph energy (0 for the lowest one)**: 438 meV per atom